La2Pr2Nd3 | GGA-PBE | optimized geometry

Cell: 18.092 3.605 8.895 Å, 90.00 118.80 90.00°
Space group C2/m (No. 12)
One atom of each set of equivalent atoms:
La1 0.064 0.000 0.408 (multiplicity 4)
Pr1 0.150 0.500 0.839 (multiplicity 4)
Nd1 0.000 0.500 0.000 (multiplicity 2)
Nd2 0.214 0.500 0.301 (multiplicity 4)

The calculation puts the formation energy at 98 meV per atom. The crystal system is monoclinic. The value obtained for the magnetic moment is 0.00 μB per formula unit. The density of states at the Fermi level comes out at 1.54 states/eV/atom. The offset from the most stable computed form is 83.9 meV per atom.

LaPr7Nd2 | GGA-PBE | optimized geometry

Cell: 6.430 6.439 9.826 Å, 70.99 70.93 80.39°
Space group P-1 (No. 2)
One atom of each set of equivalent atoms:
La1 0.000 0.000 0.000 (multiplicity 1)
Pr1 0.099 0.498 0.301 (multiplicity 2)
Pr2 0.301 0.501 0.899 (multiplicity 2)
Pr3 0.399 0.999 0.201 (multiplicity 2)
Pr4 0.500 0.500 0.500 (multiplicity 1)
Nd1 0.201 0.001 0.599 (multiplicity 2)

The calculation puts the formation energy at 13 meV per atom. The crystal system is triclinic. The value obtained for the magnetic moment is 0.00 μB per formula unit. The density of states at the Fermi level comes out at 1.86 states/eV/atom. The offset from the most stable computed form is 0.0 meV per atom.

La2Pr3Nd2 | GGA-PBE | optimized geometry

Cell: 18.108 3.613 8.891 Å, 90.00 118.72 90.00°
Space group C2/m (No. 12)
One atom of each set of equivalent atoms:
La1 0.063 0.000 0.408 (multiplicity 4)
Pr1 0.000 0.500 0.000 (multiplicity 2)
Pr2 0.214 0.500 0.300 (multiplicity 4)
Nd1 0.150 0.500 0.838 (multiplicity 4)

The calculation puts the formation energy at 98 meV per atom. The crystal system is monoclinic. The value obtained for the magnetic moment is 0.00 μB per formula unit. The density of states at the Fermi level comes out at 1.55 states/eV/atom. The offset from the most stable computed form is 83.3 meV per atom.

La7PrNd2 | GGA-PBE | optimized geometry

Cell: 5.891 8.859 8.924 Å, 119.32 90.21 109.32°
Space group P-1 (No. 2)
One atom of each set of equivalent atoms:
La1 0.000 0.000 0.000 (multiplicity 1)
La2 0.115 0.226 0.777 (multiplicity 2)
La3 0.155 0.311 0.457 (multiplicity 2)
La4 0.377 0.753 0.909 (multiplicity 2)
Pr1 0.500 0.000 0.500 (multiplicity 1)
Nd1 0.260 0.523 0.216 (multiplicity 2)

The calculation puts the formation energy at 175 meV per atom. The crystal system is triclinic. The value obtained for the magnetic moment is 0.00 μB per formula unit. The density of states at the Fermi level comes out at 1.59 states/eV/atom. The offset from the most stable computed form is 0.0 meV per atom.